No. 1
# Ca2LaRh (meta-GGA SCAN, single point on PBEsol structure)
data_Ca2LaRh
_chemical_formula_sum 'Ca4 La2 Rh2'
_space_group_name_H-M_alt 'A m m 2'
_space_group_IT_number 38
_cell_length_a 3.775
_cell_length_b 4.180
_cell_length_c 16.113
_cell_angle_alpha 90.00
_cell_angle_beta 90.00
_cell_angle_gamma 90.00
loop_
_space_group_symop_operation_xyz
'x,y,z'
'-x,-y,z'
'-x,y,z'
'x,-y,z'
'x,y+1/2,z+1/2'
'-x,-y+1/2,z+1/2'
'-x,y+1/2,z+1/2'
'x,-y+1/2,z+1/2'
loop_
_atom_site_label
_atom_site_type_symbol
_atom_site_fract_x
_atom_site_fract_y
_atom_site_fract_z
Ca1 Ca 0.000 0.000 0.000
Ca2 Ca 0.500 0.000 0.332
La1 La 0.000 0.000 0.676
Rh1 Rh 0.500 0.000 0.150
# Total moment (μB per cell): 0.1
# DFT total energy (eV per atom): -24.44
# Formation energy (eV/atom): -0.38
# Density of states at the Fermi level (states/eV/cell): 5.06

No. 2
# Tl2RuPb (meta-GGA SCAN, single point on PBEsol structure)
data_Tl2RuPb
_chemical_formula_sum 'Tl6 Ru3 Pb3'
_space_group_name_H-M_alt 'R 3 m'
_space_group_IT_number 160
_space_group_name_Hall 'R 3 -2"'
_cell_length_a 3.3017
_cell_length_b 3.3017
_cell_length_c 29.7869
_cell_angle_alpha 90.00
_cell_angle_beta 90.00
_cell_angle_gamma 120.00
loop_
_atom_site_label
_atom_site_type_symbol
_atom_site_fract_x
_atom_site_fract_y
_atom_site_fract_z
Tl1 Tl 0.0000 0.0000 0.0000
Tl2 Tl 0.0000 0.0000 0.2382
Ru1 Ru 0.0000 0.0000 0.7352
Pb1 Pb 0.0000 0.0000 0.4691
# Total moment (μB per cell): 0.0
# DFT total energy (eV per atom): -63.44
# Formation energy (eV/atom): 0.39
# Density of states at the Fermi level (states/eV/cell): 8.13

No. 3
# Ag2SnAu2 (meta-GGA SCAN, single point on PBEsol structure)
data_Ag2SnAu2
_chemical_formula_sum 'Ag4 Sn2 Au4'
_space_group_name_H-M_alt 'I 4/m m m'
_space_group_IT_number 139
_space_group_name_Hall '-I 4 2'
_cell_length_a 3.816
_cell_length_b 3.816
_cell_length_c 13.669
_cell_angle_alpha 90.00
_cell_angle_beta 90.00
_cell_angle_gamma 90.00
loop_
_atom_site_label
_atom_site_type_symbol
_atom_site_fract_x
_atom_site_fract_y
_atom_site_fract_z
Ag1 Ag 0.000 0.000 0.099
Sn1 Sn 0.000 0.000 0.500
Au1 Au 0.000 0.500 0.250
# Total moment (μB per cell): 0.0
# DFT total energy (eV per atom): -47.28
# Formation energy (eV/atom): 0.11
# Density of states at the Fermi level (states/eV/cell): 3.28

No. 4
# ScAu2 (meta-GGA SCAN, single point on PBEsol structure)
data_ScAu2
_chemical_formula_sum 'Sc2 Au4'
_space_group_name_H-M_alt 'I 4/m m m'
_space_group_IT_number 139
_space_group_name_Hall '-I 4 2'
_cell_length_a 3.506
_cell_length_b 3.506
_cell_length_c 8.677
_cell_angle_alpha 90.00
_cell_angle_beta 90.00
_cell_angle_gamma 90.00
loop_
_atom_site_label
_atom_site_type_symbol
_atom_site_fract_x
_atom_site_fract_y
_atom_site_fract_z
Sc1 Sc 0.000 0.000 0.000
Au1 Au 0.000 0.000 0.336
# Total moment (μB per cell): 0.0
# DFT total energy (eV per atom): -51.89
# Formation energy (eV/atom): -1.04
# Density of states at the Fermi level (states/eV/cell): 1.70

No. 5
# PmPbAu2 (meta-GGA SCAN, single point on PBEsol structure)
data_PmPbAu2
_chemical_formula_sum 'Pm4 Pb4 Au8'
_space_group_name_H-M_alt 'F m -3 m'
_space_group_IT_number 225
_space_group_name_Hall '-F 4 2 3'
_cell_length_a 7.105
_cell_length_b 7.105
_cell_length_c 7.105
_cell_angle_alpha 90.00
_cell_angle_beta 90.00
_cell_angle_gamma 90.00
loop_
_atom_site_label
_atom_site_type_symbol
_atom_site_fract_x
_atom_site_fract_y
_atom_site_fract_z
Pm1 Pm 0.000 0.000 0.000
Pb1 Pb 0.000 0.000 0.500
Au1 Au 0.250 0.250 0.250
# Total moment (μB per cell): 0.0
# DFT total energy (eV per atom): -65.27
# Formation energy (eV/atom): -0.75
# Density of states at the Fermi level (states/eV/cell): 4.43

No. 6
# Y2BeOsW (meta-GGA SCAN, single point on PBEsol structure)
data_Y2BeOsW
_chemical_formula_sum 'Y2 Be1 Os1 W1'
_space_group_name_H-M_alt 'P 4/m m m'
_space_group_IT_number 123
_space_group_name_Hall '-P 4 2'
_cell_length_a 5.285
_cell_length_b 5.285
_cell_length_c 4.630
_cell_angle_alpha 90.00
_cell_angle_beta 90.00
_cell_angle_gamma 90.00
loop_
_atom_site_label
_atom_site_type_symbol
_atom_site_fract_x
_atom_site_fract_y
_atom_site_fract_z
Y1 Y 0.000 0.500 0.000
Be1 Be 0.000 0.000 0.500
Os1 Os 0.500 0.500 0.500
W1 W 0.500 0.500 0.000
# Total moment (μB per cell): 0.8
# DFT total energy (eV per atom): -39.12
# Formation energy (eV/atom): 1.20
# Density of states at the Fermi level (states/eV/cell): 4.47

No. 7
# Tl2SiAg (meta-GGA SCAN, single point on PBEsol structure)
data_Tl2SiAg
_chemical_formula_sum 'Tl2 Si1 Ag1'
_space_group_name_H-M_alt 'P 4 m m'
_space_group_IT_number 99
_cell_length_a 3.273
_cell_length_b 3.273
_cell_length_c 8.356
_cell_angle_alpha 90.00
_cell_angle_beta 90.00
_cell_angle_gamma 90.00
loop_
_space_group_symop_operation_xyz
'x,y,z'
'-y,x,z'
'-x,-y,z'
'y,-x,z'
'-x,y,z'
'y,x,z'
'x,-y,z'
'-y,-x,z'
loop_
_atom_site_label
_atom_site_type_symbol
_atom_site_fract_x
_atom_site_fract_y
_atom_site_fract_z
Tl1 Tl 0.000 0.000 0.000
Tl2 Tl 0.500 0.500 0.330
Si1 Si 0.500 0.500 0.742
Ag1 Ag 0.000 0.000 0.593
# Total moment (μB per cell): 0.0
# ΔE_f (raw) (kJ/mol of formula units): 119
# DFT total energy (eV per atom): -46.22
# Density of states at the Fermi level (states/eV/cell): 1.81

No. 8
# LaTlNi3 (meta-GGA SCAN, single point on PBEsol structure)
data_LaTlNi3
_chemical_formula_sum 'La1 Tl1 Ni3'
_space_group_name_H-M_alt 'P m -3 m'
_space_group_IT_number 221
_space_group_name_Hall '-P 4 2 3'
_cell_length_a 4.711
_cell_length_b 4.711
_cell_length_c 4.711
_cell_angle_alpha 90.00
_cell_angle_beta 90.00
_cell_angle_gamma 90.00
loop_
_atom_site_label
_atom_site_type_symbol
_atom_site_fract_x
_atom_site_fract_y
_atom_site_fract_z
La1 La 0.000 0.000 0.000
Tl1 Tl 0.500 0.500 0.500
Ni1 Ni 0.000 0.500 0.500
# Total moment (μB per cell): 0.0
# DFT total energy (eV per atom): -32.23
# Formation energy (eV/atom): 0.56
# Density of states at the Fermi level (states/eV/cell): 5.53

> The lowest density of states at the Fermi level belongs to which entry?

ScAu2